1.
Below is Na3SnHg4 after structural relaxation, with properties calculated at the PBE-GGA level. Values from VASP.

## Properties
symmetry = C2/m
energy of formation from the pure elements = -0.1435 eV per atom
polymorph energy (0 for the lowest one) = 0.00 eV per formula unit

```
&SYSTEM
  ibrav = 0, nat = 8, ntyp = 3
/
ATOMIC_SPECIES
Na 22.99 Na.upf
Sn 118.71 Sn.upf
Hg 200.59 Hg.upf
CELL_PARAMETERS angstrom
9.017 -2.535 0.000
9.017 2.535 0.000
-0.025 0.000 5.066
ATOMIC_POSITIONS crystal
Na 0.000 0.000 0.000
Na 0.313 0.313 0.506
Na 0.687 0.687 0.494
Sn 0.500 0.500 0.500
Hg 0.096 0.096 0.502
Hg 0.197 0.197 0.003
Hg 0.803 0.803 0.997
Hg 0.904 0.904 0.498
```

2.
Below is NaSrSn2Hg2 after structural relaxation, with properties calculated at the PBE-GGA level. Values from VASP.

## Properties
symmetry = P-3m1
energy of formation from the pure elements = -0.3390 eV per atom

```
&SYSTEM
  ibrav = 0, nat = 6, ntyp = 4
/
ATOMIC_SPECIES
Na 22.99 Na.upf
Sr 87.62 Sr.upf
Sn 118.71 Sn.upf
Hg 200.59 Hg.upf
CELL_PARAMETERS angstrom
4.982 0.000 0.000
-2.491 4.314 0.000
0.000 0.000 7.767
ATOMIC_POSITIONS crystal
Na 0.000 0.000 0.000
Sr 0.000 0.000 0.500
Sn 0.333 0.667 0.246
Sn 0.667 0.333 0.754
Hg 0.333 0.667 0.792
Hg 0.667 0.333 0.208
```

3.
Below is NaSrSnHg after structural relaxation, with properties calculated at the PBE-GGA level. Values from VASP.

## Properties
symmetry = F-43m
energy of formation from the pure elements = -0.3860 eV per atom
polymorph energy (0 for the lowest one) = 0.01 eV per formula unit

```
&SYSTEM
  ibrav = 0, nat = 4, ntyp = 4
/
ATOMIC_SPECIES
Na 22.99 Na.upf
Sr 87.62 Sr.upf
Sn 118.71 Sn.upf
Hg 200.59 Hg.upf
CELL_PARAMETERS angstrom
0.000 3.897 3.897
3.897 0.000 3.897
3.897 3.897 0.000
ATOMIC_POSITIONS crystal
Na 0.000 0.000 0.000
Sr 0.500 0.500 0.500
Sn 0.250 0.250 0.250
Hg 0.750 0.750 0.750
```

4.
Below is Na2SrSn2Hg2 after structural relaxation, with properties calculated at the PBE-GGA level. Values from VASP.

## Properties
symmetry = R-3m
energy of formation from the pure elements = -0.3607 eV per atom

```
&SYSTEM
  ibrav = 0, nat = 7, ntyp = 4
/
ATOMIC_SPECIES
Na 22.99 Na.upf
Sr 87.62 Sr.upf
Sn 118.71 Sn.upf
Hg 200.59 Hg.upf
CELL_PARAMETERS angstrom
2.490 1.437 9.632
-2.490 1.437 9.632
0.000 -2.875 9.632
ATOMIC_POSITIONS crystal
Na 0.136 0.136 0.136
Na 0.864 0.864 0.864
Sr 0.000 0.000 0.000
Sn 0.254 0.254 0.254
Sn 0.746 0.746 0.746
Hg 0.402 0.402 0.402
Hg 0.598 0.598 0.598
```

> What is the energy of formation from the pure elements in the first record?

-0.1435 eV per atom

> The highest energy of formation from the pure elements belongs to which entry?

Na3SnHg4

> Number 4 is which compound?

Na2SrSn2Hg2